Entry from the Open Quantum Materials Database: a relaxed SmAsAu crystal (PBE).

Cell and atoms, written as POSCAR:
```
SmAsAu
1.0
6.849 0.000 0.000
0.000 6.849 0.000
0.000 0.000 6.849
Sm As Au
4 4 4
direct
0.000 0.000 0.000 Sm
0.000 0.500 0.500 Sm
0.500 0.000 0.500 Sm
0.500 0.500 0.000 Sm
0.250 0.250 0.750 As
0.250 0.750 0.250 As
0.750 0.250 0.250 As
0.750 0.750 0.750 As
0.250 0.250 0.250 Au
0.250 0.750 0.750 Au
0.750 0.250 0.750 Au
0.750 0.750 0.250 Au
```

Values from the calculation:
raw total energy = -57.955 eV per cell
volume = 321.2 Å³ per cell